Here is an optimized crystal structure of MgCo from Alexandria. Energies are from PBE.

Unit cell a=7.509 b=7.509 c=4.445 alpha=90.00 beta=90.00 gamma=90.00
Sites, in units of the cell vectors:
Mg1 0.000 0.286 0.000
Mg2 0.000 0.714 0.000
Mg3 0.214 0.500 0.500
Mg4 0.286 0.000 0.000
Mg5 0.500 0.214 0.500
Mg6 0.500 0.786 0.500
Mg7 0.714 0.000 0.000
Mg8 0.786 0.500 0.500
Co1 0.152 0.152 0.500
Co2 0.152 0.848 0.500
Co3 0.348 0.348 0.000
Co4 0.348 0.652 0.000
Co5 0.652 0.348 0.000
Co6 0.652 0.652 0.000
Co7 0.848 0.152 0.500
Co8 0.848 0.848 0.500

- ΔE_f (kJ/mol of atoms) = 13.8



Here is an optimized crystal structure of Mg2Co3 from Alexandria. Energies are from PBE.

Unit cell a=4.079 b=4.079 c=5.241 alpha=90.00 beta=90.00 gamma=120.00
Sites, in units of the cell vectors:
Mg1 0.333 0.667 0.344
Mg2 0.667 0.333 0.656
Co1 0.000 0.000 0.500
Co2 0.333 0.667 0.876
Co3 0.667 0.333 0.124

- E above lowest polymorph (meV/atom) = 588
- ΔE_f (kJ/mol of atoms) = 68.8



Here is an optimized crystal structure of MgCo2 from Alexandria. Energies are from PBE.

Unit cell a=2.891 b=2.891 c=9.566 alpha=90.00 beta=90.00 gamma=90.00
Sites, in units of the cell vectors:
Mg1 0.000 0.000 0.000
Mg2 0.500 0.500 0.500
Co1 0.000 0.000 0.313
Co2 0.000 0.000 0.687
Co3 0.500 0.500 0.187
Co4 0.500 0.500 0.813

- ΔE_f (kJ/mol of atoms) = 8.3



Here is an optimized crystal structure of MgCo from Alexandria. Energies are from PBE.

Unit cell a=4.928 b=5.097 c=9.860 alpha=90.00 beta=90.00 gamma=90.00
Sites, in units of the cell vectors:
Mg1 0.121 0.152 0.189
Mg2 0.132 0.593 0.985
Mg3 0.368 0.407 0.485
Mg4 0.379 0.848 0.689
Mg5 0.621 0.348 0.811
Mg6 0.632 0.907 0.015
Mg7 0.868 0.093 0.515
Mg8 0.879 0.652 0.311
Co1 0.104 0.340 0.723
Co2 0.137 0.108 0.916
Co3 0.363 0.892 0.416
Co4 0.396 0.660 0.223
Co5 0.604 0.160 0.277
Co6 0.637 0.392 0.084
Co7 0.863 0.608 0.584
Co8 0.896 0.840 0.777

- ΔE_f (kJ/mol of atoms) = 13.6



| no. | M_tot (μB per cell) |
| --- | --- |
| 1 | 10.92 |
| 2 | 3.37 |
| 3 | 6.26 |
| 4 | 9.57 |